No. 1
First-principles (PBE) data for a relaxed Co2CuI crystal, as listed in the Alexandria database.

Lattice parameters (Å, degrees): 4.3051 4.3051 4.3051 60.00 60.00 60.00
Last column: magnetic moment on the atom in μB.
Fractional coordinates of all 4 atoms:
Co (0.7500, 0.7500, 0.7500)  1.10
Co (0.2500, 0.2500, 0.2500)  1.10
Cu (0.0000, 0.0000, 0.0000)  0.00
I (0.5000, 0.5000, 0.5000)  0.05

Polymorph energy (0 for the lowest one) in meV per atom: 0.0
Raw formation energy in eV per atom: 0.7353
Volume in Å³/f.u.: 56
E in eV/atom: -4.2292
N(E_F) in states/eV/cell: 3.79

***

No. 2
First-principles (PBE) data for a relaxed LaCd2Os crystal, as listed in the Alexandria database.

Lattice parameters (Å, degrees): 5.3611 5.3611 6.4708 59.84 59.84 37.28
Fractional coordinates of all 4 atoms:
Cd (0.2833, 0.2833, 0.2300)
Cd (0.0661, 0.0661, 0.0401)
La (0.4460, 0.4460, 0.6019)
Os (0.7046, 0.7046, 0.6280)

Volume in Å³/f.u.: 96
E in eV/atom: -4.3464
N(E_F) in states/eV/cell: 2.54
DFT formation energy in eV/atom: 0.151

***

No. 3
First-principles (PBE) data for a relaxed Ho8Tl3 crystal, as listed in the Alexandria database.

Lattice parameters (Å, degrees): 7.1301 7.1301 7.1301 88.63 88.63 88.63
Last column: magnetic moment on the atom in μB.
Fractional coordinates of all 11 atoms:
Ho (0.3150, 0.1425, 0.8809)  0.07
Ho (0.1191, 0.6850, 0.8575)  0.07
Ho (0.8575, 0.1191, 0.6850)  0.07
Ho (0.6474, 0.6474, 0.6474)  0.02
Ho (0.6850, 0.8575, 0.1191)  0.07
Ho (0.3526, 0.3526, 0.3526)  0.02
Ho (0.8809, 0.3150, 0.1425)  0.07
Ho (0.1425, 0.8809, 0.3150)  0.07
Tl (0.5000, 0.5000, 0.0000)  0.00
Tl (0.0000, 0.5000, 0.5000)  0.00
Tl (0.5000, 0.0000, 0.5000)  0.00

Volume in Å³/f.u.: 362
E in eV/atom: -3.8606
N(E_F) in states/eV/cell: 18.00
DFT formation energy in eV/atom: 0.114